This record from Alexandria via LeMat-Bulk describes a geometry-optimized DyTmPSe structure. The functional is PBE.

```
DyTmPSe
1.0
3.938 -0.001 0.000
-1.969 3.411 0.000
-1.968 -1.136 6.912
Tm Dy P Se
1 1 1 1
Direct
0.117 0.957 0.089 Tm
0.488 0.142 0.644 Dy
0.308 0.552 0.876 P
0.964 0.380 0.360 Se
```

Computed properties:
Formation energy (no corrections) ... -1.70 eV/atom
Raw total energy ... -6.20 eV per atom
Crystal system ... trigonal